Entry 1:
Density functional theory data (PBE) for a relaxed Pr2HoAl crystal.

a = 4.8950 Å, b = 4.8751 Å, c = 4.8751 Å
α = 90.00°, β = 90.00°, γ = 90.00°
Last column: nearest neighbours and their distance in Å.
Fractional positions:
Pr1 0.0000 0.0000 0.5000  4 Pr 3.45, 4 Al 3.45, 4 Ho 3.45
Pr2 0.0000 0.5000 0.0000  4 Pr 3.45, 4 Ho 3.45, 4 Al 3.45
Ho1 0.5000 0.5000 0.5000  4 Al 3.45, 8 Pr 3.45
Al1 0.5000 0.0000 0.0000  4 Ho 3.45, 8 Pr 3.45

Output
SG = P4/mmm
Excess energy over the best structure of this formula in the dataset = 0.0094 eV/atom

Entry 2:
Density functional theory data (PBE) for a relaxed PrHo7Al5 crystal.

a = 6.1075 Å, b = 8.0194 Å, c = 8.0194 Å
α = 79.02°, β = 67.62°, γ = 67.62°
Last column: nearest neighbours and their distance in Å.
Fractional positions:
Pr1 0.0097 0.9903 0.9903  8 Ho 3.46-3.75, 4 Al 3.86
Ho1 0.6610 0.3390 0.3390  4 Al 3.18, 5 Ho 3.27-3.52
Ho2 0.3391 0.6609 0.6609  6 Al 3.07-3.24
Ho3 0.9923 0.3462 0.6691  5 Al 3.16-3.28, 4 Ho 3.29-3.40, 1 Pr 3.46
Ho4 0.9923 0.6691 0.3462  5 Al 3.16-3.28, 4 Ho 3.29-3.40, 1 Pr 3.46
Ho5 0.2689 0.2311 0.2311  4 Al 3.06, 6 Ho 3.24-3.40
Ho6 0.5068 0.7979 0.1884  5 Al 3.03-3.26, 3 Ho 3.24-3.39
Ho7 0.5068 0.1884 0.7979  5 Al 3.03-3.26, 3 Ho 3.24-3.39
Al1 0.4966 0.9955 0.5121  3 Al 2.90-3.06, 5 Ho 3.03-3.18
Al2 0.9957 0.9955 0.5121  3 Al 2.90-3.06, 5 Ho 3.03-3.18
Al3 0.4966 0.5121 0.9955  3 Al 2.90-3.06, 5 Ho 3.03-3.18
Al4 0.9957 0.5121 0.9955  3 Al 2.90-3.06, 5 Ho 3.03-3.18
Al5 0.7384 0.7616 0.7616  4 Al 2.90, 6 Ho 3.19-3.24

Output
SG = Imm2

Entry 3:
Density functional theory data (PBE) for a relaxed Pr8Ho2Al crystal.

a = 5.5667 Å, b = 8.1133 Å, c = 9.3831 Å
α = 111.45°, β = 107.26°, γ = 90.00°
Last column: nearest neighbours and their distance in Å.
Fractional positions:
Pr1 0.3933 0.5764 0.7867  1 Al 3.23, 2 Ho 3.38, 2 Pr 3.50
Pr2 0.6600 0.9116 0.3201  1 Al 3.21, 1 Pr 3.47, 1 Ho 3.49
Pr3 0.8230 0.7807 0.6461  3 Ho 3.45-3.53, 8 Pr 3.47-3.85
Pr4 0.9858 0.2333 0.9716  2 Al 3.43, 6 Pr 3.47-3.71, 1 Ho 3.63
Pr5 0.1770 0.2193 0.3539  3 Ho 3.45-3.53, 8 Pr 3.47-3.85
Pr6 0.3400 0.0884 0.6799  1 Al 3.21, 1 Pr 3.47, 1 Ho 3.49
Pr7 0.6067 0.4236 0.2133  1 Al 3.23, 2 Ho 3.38, 2 Pr 3.50
Pr8 0.0142 0.7667 0.0284  2 Al 3.43, 6 Pr 3.47-3.71, 1 Ho 3.63
Ho1 0.8079 0.3437 0.6158  9 Pr 3.38-3.64
Ho2 0.1921 0.6563 0.3842  9 Pr 3.38-3.64
Al1 0.5000 0.0000 0.0000  8 Pr 3.21-3.43

Output
SG = C2/m

Entry 4:
Density functional theory data (PBE) for a relaxed Pr2HoAl crystal.

a = 3.6024 Å, b = 3.6024 Å, c = 9.3116 Å
α = 90.00°, β = 90.00°, γ = 90.00°
Last column: nearest neighbours and their distance in Å.
Fractional positions:
Pr1 0.0000 0.0000 0.7830  4 Al 3.25, 4 Pr 3.60
Pr2 0.0000 0.0000 0.2170  4 Al 3.25, 4 Pr 3.60
Ho1 0.5000 0.5000 0.5000  4 Ho 3.60, 8 Pr 3.67
Al1 0.5000 0.5000 0.0000  8 Pr 3.25, 4 Al 3.60

Output
SG = P4/mmm
Excess energy over the best structure of this formula in the dataset = 0.0428 eV/atom

Entry 5:
Density functional theory data (PBE) for a relaxed Pr2HoAl crystal.

a = 3.6924 Å, b = 3.6924 Å, c = 10.9388 Å
α = 80.29°, β = 80.29°, γ = 60.00°
Last column: nearest neighbours and their distance in Å.
Fractional positions:
Pr1 0.0735 0.0735 0.7794  3 Al 3.19
Pr2 0.2599 0.2599 0.2203  3 Al 3.18
Ho1 0.5002 0.5002 0.4996  6 Pr 3.68, 6 Ho 3.69
Al1 0.6664 0.6664 0.0007  6 Pr 3.18-3.19

Output
SG = R3m
Excess energy over the best structure of this formula in the dataset = 0.1663 eV/atom

Entry 6:
Density functional theory data (PBE) for a relaxed Pr2HoAl3Pt4 crystal.

a = 4.3839 Å, b = 4.3839 Å, c = 10.8775 Å
α = 90.00°, β = 90.00°, γ = 90.00°
Last column: nearest neighbours and their distance in Å.
Fractional positions:
Pr1 0.5000 0.0000 0.2305  8 Pt 3.33-3.35, 6 Al 3.34-3.66, 2 Ho 3.66
Pr2 0.0000 0.5000 0.7695  8 Pt 3.33-3.35, 6 Al 3.34-3.66, 2 Ho 3.66
Ho1 0.5000 0.5000 0.5000  4 Pt 2.75
Al1 0.0000 0.0000 0.5000  4 Pt 2.75
Al2 0.5000 0.0000 0.8828  5 Pt 2.50-2.54
Al3 0.0000 0.5000 0.1172  5 Pt 2.50-2.54
Pt1 0.5000 0.5000 0.0000  4 Al 2.54
Pt2 0.0000 0.0000 0.0000  4 Al 2.54
Pt3 0.5000 0.0000 0.6528  3 Al 2.50-2.75, 2 Ho 2.75
Pt4 0.0000 0.5000 0.3472  3 Al 2.50-2.75, 2 Ho 2.75

Output
SG = P-4m2

Number 1: energy of formation -0.159 eV/atom. Number 2: energy of formation -0.233 eV/atom. Number 3: energy of formation 0.032 eV/atom. Number 4: energy of formation -0.125 eV/atom. Number 5: energy of formation -0.002 eV/atom. Number 6: energy of formation -1.064 eV/atom.